(1)
The following is a PBE calculation of a relaxed structure of GdFe6, from Alexandria via LeMat-Bulk.

Geometry as POSCAR:
```
GdFe6
1.0
-4.321 -1.324 -2.599
-0.664 -0.965 5.080
0.958 5.077 -0.694
Fe Gd
6 1
direct
0.750 0.250 0.500 Fe
0.750 0.500 0.250 Fe
0.500 0.250 0.750 Fe
0.250 0.500 0.750 Fe
0.250 0.750 0.500 Fe
0.500 0.750 0.250 Fe
0.000 0.000 0.000 Gd
```

- V: 109.1 Å³/f.u.
- SG: No. 229
- Formation energy: 0.57 eV/atom

---

(2)
The following is a PBE calculation of a relaxed structure of GdFe2, from Alexandria via LeMat-Bulk.

Geometry as POSCAR:
```
GdFe2
1.0
5.157 0.000 0.000
2.578 4.466 0.000
2.578 1.489 4.210
Gd Fe
2 4
direct
0.250 0.250 0.250 Gd
0.000 0.000 0.000 Gd
0.625 0.625 0.625 Fe
0.625 0.625 0.125 Fe
0.625 0.125 0.625 Fe
0.125 0.625 0.625 Fe
```

- V: 48.5 Å³/f.u.
- SG: No. 227
- Formation energy: 0.02 eV/atom

---

(3)
The following is a PBE calculation of a relaxed structure of GdFe5, from Alexandria via LeMat-Bulk.

Geometry as POSCAR:
```
GdFe5
1.0
5.021 0.000 0.000
-2.511 4.349 0.000
0.000 0.000 3.946
Fe Gd
5 1
direct
0.333 0.667 0.000 Fe
0.500 0.000 0.500 Fe
0.000 0.500 0.500 Fe
0.667 0.333 0.000 Fe
0.500 0.500 0.500 Fe
0.000 0.000 0.000 Gd
```

- V: 86.2 Å³/f.u.
- SG: No. 191
- Formation energy: 0.01 eV/atom

---

(4)
The following is a PBE calculation of a relaxed structure of GdFe2Ge2, from Alexandria via LeMat-Bulk.

Geometry as POSCAR:
```
GdFe2Ge2
1.0
-0.832 -3.061 -2.502
3.952 -0.562 -0.626
-1.402 -1.372 5.404
Fe Gd Ge
2 1 2
direct
0.243 0.752 0.500 Fe
0.743 0.252 0.500 Fe
0.993 0.002 0.000 Gd
0.360 0.370 0.735 Ge
0.625 0.635 0.265 Ge
```

- V: 81.5 Å³/f.u.
- SG: No. 139
- Formation energy: -0.45 eV/atom

---

(5)
The following is a PBE calculation of a relaxed structure of Gd2FeGe, from Alexandria via LeMat-Bulk.

Geometry as POSCAR:
```
Gd2FeGe
1.0
3.796 0.000 0.000
0.000 4.779 0.000
0.000 0.000 4.779
Fe Ge Gd
1 1 2
direct
0.500 0.500 0.500 Fe
0.500 0.000 0.000 Ge
0.000 0.000 0.500 Gd
0.000 0.500 0.000 Gd
```

- V: 86.7 Å³/f.u.
- SG: No. 123
- Formation energy: -0.28 eV/atom

---

(6)
The following is a PBE calculation of a relaxed structure of Gd2FeH4, from Alexandria via LeMat-Bulk.

Geometry as POSCAR:
```
Gd2FeH4
1.0
-2.080 1.533 2.425
1.561 -1.908 2.545
3.959 4.303 3.263
Gd H Fe
2 4 1
direct
0.642 0.642 0.716 Gd
0.358 0.358 0.284 Gd
0.000 0.500 0.000 H
0.139 0.139 0.722 H
0.500 0.000 0.000 H
0.861 0.861 0.278 H
0.000 0.000 0.000 Fe
```

- V: 78.0 Å³/f.u.
- SG: No. 139

---

| no. | calculated total energy (eV/atom) |
| --- | --- |
| 1 | -8.693 |
| 2 | -10.318 |
| 3 | -9.390 |
| 4 | -8.501 |
| 5 | -10.594 |
| 6 | -7.524 |